# 1
Compound: Li2PHO4
Source: Alexandria via LeMat-Bulk
Functional: PBE-GGA
Structure: relaxed

It has space group Pmn2_1 (No. 31), with a = 6.5947 Å, b = 5.2228 Å, c = 4.8370 Å, α = 90.00°, β = 90.00° and γ = 90.00°. The inequivalent atoms are Li at (0.2373, 0.1678, 0.0000), P at (0.0000, 0.6671, 0.9885), H at (0.0000, 0.4988, 0.4090), O at (0.0000, 0.3823, 0.9178), O at (0.0000, 0.6751, 0.3360) and O at (0.1935, 0.8088, 0.9038).

For the total energy, the calculation gives -0.4514 Ry per atom. As for the density of states at the Fermi level: 0.00 states/eV per cell.

# 2
Compound: Ac2NdMnS5
Source: Alexandria via LeMat-Bulk
Functional: PBE-GGA
Structure: relaxed

It has space group Cmc2_1 (No. 36), with a = 4.1135 Å, b = 17.1273 Å, c = 12.5351 Å, α = 90.00°, β = 90.00° and γ = 90.00°. The inequivalent atoms are Ac at (0.0000, 0.1187, 0.0000), Ac at (0.0000, 0.1270, 0.6491), Nd at (0.0000, 0.1816, 0.3322), Mn at (0.0000, 0.4516, 0.7361), S at (0.0000, 0.0154, 0.3210), S at (0.0000, 0.3002, 0.9914), S at (0.0000, 0.3165, 0.6709), S at (0.0000, 0.3460, 0.3244) and S at (0.0000, 0.4931, 0.0660).

As for the density of states at the Fermi level: 14.54 states/eV per cell. Its uncorrected formation energy is -1.797 eV/atom.

# 3
Compound: KSi
Source: Alexandria via LeMat-Bulk
Functional: PBE-GGA
Structure: relaxed

It has space group Cmcm (No. 63), with a = 2.6253 Å, b = 13.3792 Å, c = 6.5871 Å, α = 90.00°, β = 90.00° and γ = 90.00°. The inequivalent atoms are K at (0.0000, 0.1245, 0.2500) and Si at (0.0000, 0.3795, 0.2500).

As for the density of states at the Fermi level: 4.46 states/eV per cell. Its uncorrected formation energy is 0.647 eV/atom.